Below is an optimized crystal structure of U3Ru5N12, with properties calculated at the PBE level.

```
data_U3Ru5N12
_space_group_name_H-M_alt 'I a -3 d'
_space_group_IT_number 230
_space_group_name_Hall '-I 4bd 2c 3'
_cell_length_a 12.460
_cell_length_b 12.460
_cell_length_c 12.460
_cell_angle_alpha 90.00
_cell_angle_beta 90.00
_cell_angle_gamma 90.00
loop_
_atom_site_label
_atom_site_type_symbol
_atom_site_fract_x
_atom_site_fract_y
_atom_site_fract_z
U1 U 0.000 0.250 0.125
Ru1 Ru 0.000 0.000 0.000
Ru2 Ru 0.000 0.250 0.375
N1 N 0.025 0.059 0.653
```

Computed properties:
The uncorrected formation energy is -238 meV/atom. The calculation puts the density of states at the Fermi level at 1.016 states/eV/atom. The calculation puts the total energy at -1479.30 eV per cell.

Below is an optimized crystal structure of TbCuPF, with properties calculated at the PBE level.

```
data_TbCuPF
_space_group_name_H-M_alt 'P 4/n m m'
_space_group_IT_number 129
_cell_length_a 3.772
_cell_length_b 3.772
_cell_length_c 8.351
_cell_angle_alpha 90.00
_cell_angle_beta 90.00
_cell_angle_gamma 90.00
loop_
_space_group_symop_operation_xyz
'x,y,z'
'-x,-y,-z'
'-y+1/2,x,z'
'y+1/2,-x,-z'
'-x+1/2,-y+1/2,z'
'x+1/2,y+1/2,-z'
'y,-x+1/2,z'
'-y,x+1/2,-z'
'x+1/2,-y,-z'
'-x+1/2,y,z'
'-y,-x,-z'
'y,x,z'
'-x,y+1/2,-z'
'x,-y+1/2,z'
'y+1/2,x+1/2,-z'
'-y+1/2,-x+1/2,z'
loop_
_atom_site_label
_atom_site_type_symbol
_atom_site_fract_x
_atom_site_fract_y
_atom_site_fract_z
Tb1 Tb 0.250 0.250 0.188
Cu1 Cu 0.250 0.750 0.500
P1 P 0.250 0.250 0.679
F1 F 0.250 0.750 0.000
```

Computed properties:
The uncorrected formation energy is -1958 meV/atom. The calculation puts the density of states at the Fermi level at 0.043 states/eV/atom. The calculation puts the total energy at -47.68 eV per cell.

Below is an optimized crystal structure of Ta17Os12, with properties calculated at the PBE level.

```
data_Ta17Os12
_space_group_name_H-M_alt 'I -4 3 m'
_space_group_IT_number 217
_space_group_name_Hall 'I -4 2 3'
_cell_length_a 9.898
_cell_length_b 9.898
_cell_length_c 9.898
_cell_angle_alpha 90.00
_cell_angle_beta 90.00
_cell_angle_gamma 90.00
loop_
_atom_site_label
_atom_site_type_symbol
_atom_site_fract_x
_atom_site_fract_y
_atom_site_fract_z
Ta1 Ta 0.000 0.000 0.000
Ta2 Ta 0.039 0.356 0.644
Ta3 Ta 0.173 0.173 0.173
Os1 Os 0.091 0.091 0.718
```

Computed properties:
The calculation puts the density of states at the Fermi level at 0.826 states/eV/atom. The calculation puts the total energy at -690.29 eV per cell.

Below is an optimized crystal structure of TcIrRu2, with properties calculated at the PBE level.

```
data_TcIrRu2
_space_group_name_H-M_alt 'C 1 2/m 1'
_space_group_IT_number 12
_cell_length_a 8.998
_cell_length_b 2.709
_cell_length_c 4.737
_cell_angle_alpha 90.00
_cell_angle_beta 99.88
_cell_angle_gamma 90.00
loop_
_space_group_symop_operation_xyz
'x,y,z'
'-x,-y,-z'
'-x,y,-z'
'x,-y,z'
'x+1/2,y+1/2,z'
'-x+1/2,-y+1/2,-z'
'-x+1/2,y+1/2,-z'
'x+1/2,-y+1/2,z'
loop_
_atom_site_label
_atom_site_type_symbol
_atom_site_fract_x
_atom_site_fract_y
_atom_site_fract_z
Tc1 Tc 0.000 0.000 0.000
Ir1 Ir 0.000 0.500 0.500
Ru1 Ru 0.250 0.000 0.754
```

Computed properties:
The calculation puts the density of states at the Fermi level at 0.981 states/eV/atom. The calculation puts the total energy at -75.71 eV per cell.

Q: The lowest density of states at the Fermi level belongs to which entry?
A: TbCuPF

Q: density of states at the Fermi level of number 1 (U3Ru5N12)?
A: 1.016 states/eV/atom